# 1
Entry from the Alexandria database: crystalline Tm2Sb2H3 at its relaxed geometry (GGA-PBE).

Energy = -31.13 eV per cell
Density of states at the Fermi level = 0.5 states/eV/cell
Density = 8.2 g/cm3

a b c (Å): 3.506 6.046 7.040
angles (deg): 122.12 90.00 106.86
Sites, in units of the cell vectors:
Tm1 0.851 0.702 0.755
Tm2 0.149 0.298 0.245
Sb1 0.870 0.741 0.238
Sb2 0.130 0.259 0.762
H1 0.500 0.000 0.000
H2 0.670 0.340 0.426
H3 0.330 0.660 0.574


# 2
Entry from the Alexandria database: crystalline Tm4Sb5H2 at its relaxed geometry (GGA-PBE).

Energy = -51.80 eV per cell
Density of states at the Fermi level = 2.6 states/eV/cell
Density = 7.6 g/cm3

a b c (Å): 3.947 8.732 11.534
angles (deg): 133.68 99.85 90.00
Sites, in units of the cell vectors:
Tm1 0.710 0.718 0.420
Tm2 0.972 0.679 0.943
Tm3 0.290 0.282 0.580
Tm4 0.028 0.321 0.057
Sb1 0.134 0.811 0.268
Sb2 0.866 0.189 0.732
Sb3 0.174 0.350 0.347
Sb4 0.500 0.000 0.000
Sb5 0.826 0.650 0.653
H1 0.580 0.454 0.160
H2 0.420 0.546 0.840


# 3
Entry from the Alexandria database: crystalline Tm8Sb2H at its relaxed geometry (GGA-PBE).

Energy = -51.76 eV per cell
Density of states at the Fermi level = 10.7 states/eV/cell
Density = 9.2 g/cm3

a b c (Å): 3.969 8.374 9.060
angles (deg): 99.65 102.65 90.00
Sites, in units of the cell vectors:
Tm1 0.409 0.460 0.817
Tm2 0.639 0.018 0.277
Tm3 0.798 0.646 0.597
Tm4 0.006 0.206 0.012
Tm5 0.202 0.354 0.403
Tm6 0.361 0.982 0.723
Tm7 0.591 0.540 0.183
Tm8 0.994 0.794 0.988
Sb1 0.811 0.225 0.623
Sb2 0.189 0.775 0.377
H1 0.500 0.000 0.000


# 4
Entry from the Alexandria database: crystalline Tm6Sb3H at its relaxed geometry (GGA-PBE).

Energy = -96.99 eV per cell
Density of states at the Fermi level = 14.1 states/eV/cell
Density = 8.9 g/cm3

a b c (Å): 6.092 9.358 9.358
angles (deg): 104.84 90.00 90.00
Sites, in units of the cell vectors:
Tm1 0.162 0.746 0.637
Tm2 0.662 0.637 0.746
Tm3 0.223 0.452 0.908
Tm4 0.723 0.908 0.452
Tm5 0.023 0.082 0.918
Tm6 0.734 0.270 0.730
Tm7 0.234 0.730 0.270
Tm8 0.523 0.918 0.082
Tm9 0.223 0.092 0.548
Tm10 0.723 0.548 0.092
Tm11 0.162 0.363 0.254
Tm12 0.662 0.254 0.363
Sb1 0.523 0.960 0.758
Sb2 0.023 0.758 0.960
Sb3 0.329 0.415 0.585
Sb4 0.829 0.585 0.415
Sb5 0.023 0.040 0.242
Sb6 0.523 0.242 0.040
H1 0.081 0.225 0.775
H2 0.581 0.775 0.225


Total magnetic moment (μB/cell)
0.0; 0.0; 0.0; 0.0